Entry from Alexandria: a geometry-optimized AcIn2FeO6 structure (PBE+U).

The structure in POSCAR format:
```
AcIn2FeO6
1.0
2.8356 1.6371 4.9831
-2.8356 1.6371 4.9831
0.0000 -3.2743 4.9831
Ac In Fe O
1 2 1 6
Direct
0.0000 0.0000 0.0000
0.2596 0.2596 0.2596
0.7738 0.7738 0.7738
0.4682 0.4682 0.4682
0.0762 0.6099 0.4317
0.1891 0.5445 0.8546
0.4317 0.0762 0.6099
0.5445 0.8546 0.1891
0.6099 0.4317 0.0762
0.8546 0.1891 0.5445
```

Computed properties:
Symmetry: R3, No. 146
Total energy, eV per atom: -6.415
Mass density, g/cm³: 7.3